{
  "formula": "Ba3BiIr2O9",
  "functional": "PBE-GGA",
  "state": "relaxed",
  "cell": [[6.0034, 0.0023, 0.0087], [-2.9666, 5.2192, 0.0087], [0.2876, 0.4945, 14.9438]],
  "species": ["Ba", "Ba", "Ba", "Ba", "Ba", "Ba", "Bi", "Bi", "Ir", "Ir", "Ir", "Ir", "O", "O", "O", "O", "O", "O", "O", "O", "O", "O", "O", "O", "O", "O", "O", "O", "O", "O"],
  "frac_coords": [[0.9918, 0.0082, 0.2500], [0.0082, 0.9918, 0.7500], [0.3249, 0.6581, 0.0933], [0.3419, 0.6751, 0.4067], [0.6751, 0.3419, 0.9067], [0.6581, 0.3249, 0.5933], [0.0000, 0.0000, 0.0000], [0.0000, 0.0000, 0.5000], [0.3534, 0.6823, 0.8342], [0.3177, 0.6466, 0.6658], [0.6466, 0.3177, 0.1658], [0.6823, 0.3534, 0.3342], [0.5068, 0.4932, 0.2500], [0.4932, 0.5068, 0.7500], [0.7831, 0.1327, 0.0933], [0.8673, 0.2169, 0.4067], [0.2169, 0.8673, 0.9067], [0.1327, 0.7831, 0.5933], [0.9731, 0.4961, 0.2374], [0.5039, 0.0269, 0.2626], [0.0269, 0.5039, 0.7626], [0.4961, 0.9731, 0.7374], [0.3169, 0.1363, 0.1026], [0.8637, 0.6831, 0.3974], [0.6831, 0.8637, 0.8974], [0.1363, 0.3169, 0.6026], [0.4038, 0.2181, 0.4285], [0.7819, 0.5962, 0.0715], [0.5962, 0.7819, 0.5715], [0.2181, 0.4038, 0.9285]],
  "mass_density_g_cm3": 8.151,
  "e_form_raw_mev_per_atom": -1678
}